Hf2ZrBi, optimized geometry, DFT GGA-PBE; E_form = 73 meV/atom
1.0
1.665 0.961 10.050
-1.665 0.961 10.050
0.000 -1.922 10.050
Hf Zr Bi
2 1 1
direct
0.000 0.000 0.000
0.163 0.163 0.163
0.748 0.748 0.748
0.581 0.581 0.581